Here is a geometry-optimized LaHoAlNi structure from Alexandria. Energies are from GGA-PBE.

Output
**Energy**: -5.001 eV per atom

Cell: 5.096 5.096 5.096 Å, 60.00 60.00 60.00°
Atoms (fractional coordinates):
La 0.000 0.000 0.000
Ho 0.500 0.500 0.500
Al 0.750 0.750 0.750
Ni 0.250 0.250 0.250

Here is a geometry-optimized Sr2Ni3 structure from Alexandria. Energies are from GGA-PBE.

Output
**Energy**: -4.240 eV per atom

Cell: 4.115 4.115 8.651 Å, 90.00 90.00 120.00°
Atoms (fractional coordinates):
Sr 0.333 0.667 0.220
Sr 0.667 0.333 0.780
Ni 0.000 0.000 0.500
Ni 0.333 0.667 0.541
Ni 0.667 0.333 0.459

Here is a geometry-optimized BaLiPb11 structure from Alexandria. Energies are from GGA-PBE.

Output
**Energy**: -3.563 eV per atom

Cell: 8.661 8.661 8.633 Å, 96.89 96.89 136.64°
Atoms (fractional coordinates):
Ba 0.000 0.000 0.000
Li 0.500 0.500 0.500
Pb 0.000 0.000 0.500
Pb 0.000 0.500 0.000
Pb 0.003 0.352 0.360
Pb 0.297 0.507 0.777
Pb 0.352 0.003 0.360
Pb 0.493 0.703 0.223
Pb 0.500 0.000 0.000
Pb 0.507 0.297 0.777
Pb 0.648 0.997 0.640
Pb 0.703 0.493 0.223
Pb 0.997 0.648 0.640

Here is a geometry-optimized Rb2BeBr4 structure from Alexandria. Energies are from GGA-PBE.

Output
**Energy**: -3.187 eV per atom
**Formation energy (no corrections)**: -1.42 eV/atom
**Energy relative to the lowest polymorph listed for this composition**: 0.43 eV/f.u.

Cell: 7.957 7.957 7.957 Å, 119.70 119.70 90.52°
Atoms (fractional coordinates):
Rb 0.250 0.750 0.500
Rb 0.750 0.250 0.500
Be 0.000 0.000 0.000
Br 0.053 0.053 0.325
Br 0.272 0.947 0.000
Br 0.728 0.728 0.675
Br 0.947 0.272 0.000

Here is a geometry-optimized BaCdPt2 structure from Alexandria. Energies are from GGA-PBE.

Output
**Energy**: -3.914 eV per atom

Cell: 5.784 5.784 5.784 Å, 136.29 136.29 63.53°
Atoms (fractional coordinates):
Ba 0.000 0.000 0.000
Cd 0.250 0.750 0.500
Pt 0.500 0.500 0.000
Pt 0.750 0.250 0.500

Here is a geometry-optimized MgZr2Fe structure from Alexandria. Energies are from GGA-PBE.

Output
**Energy**: -6.708 eV per atom

Cell: 4.656 4.656 3.416 Å, 90.00 90.00 90.00°
Atoms (fractional coordinates):
Mg 0.000 0.000 0.000
Zr 0.000 0.500 0.500
Zr 0.500 0.000 0.500
Fe 0.500 0.500 0.000